[1]
V4Fe2Si: relaxed, PBE-GGA.

Computed properties:
total moment = 0.237 μB per atom
ρ = 5.22 g/cm³
DFT total energy = -7.65 eV per atom

a = 4.310 Å, b = 4.310 Å, c = 11.772 Å
α = 90.00°, β = 90.00°, γ = 90.00°
Fractional positions:
1 V 0.000 0.000 0.200
2 V 0.000 0.000 0.800
3 V 0.000 0.500 0.000
4 V 0.000 0.500 0.500
5 V 0.500 0.000 0.000
6 V 0.500 0.000 0.500
7 V 0.500 0.500 0.300
8 V 0.500 0.500 0.700
9 Fe 0.000 0.000 0.381
10 Fe 0.000 0.000 0.619
11 Fe 0.500 0.500 0.119
12 Fe 0.500 0.500 0.881
13 Si 0.000 0.000 0.000
14 Si 0.500 0.500 0.500



[2]
ErIn5Rh: relaxed, PBE-GGA.

Computed properties:
formation enthalpy at 0 K = -0.39 eV per atom
total moment = 0.000 μB per atom
ρ = 8.66 g/cm³
DFT total energy = -4.05 eV per atom

a = 4.663 Å, b = 4.663 Å, c = 7.443 Å
α = 90.00°, β = 90.00°, γ = 90.00°
Fractional positions:
1 Er 0.000 0.000 0.000
2 In 0.000 0.500 0.299
3 In 0.000 0.500 0.701
4 In 0.500 0.000 0.299
5 In 0.500 0.000 0.701
6 In 0.500 0.500 0.000
7 Rh 0.000 0.000 0.500



[3]
TaAs4Ru: relaxed, PBE-GGA.

Computed properties:
formation enthalpy at 0 K = 0.81 eV per atom
total moment = 0.078 μB per atom
ρ = 9.11 g/cm³
DFT total energy = -5.81 eV per atom

a = 5.312 Å, b = 5.312 Å, c = 5.312 Å
α = 60.00°, β = 60.00°, γ = 60.00°
Fractional positions:
1 Ta 0.000 0.000 0.000
2 As 0.125 0.625 0.625
3 As 0.625 0.125 0.625
4 As 0.625 0.625 0.125
5 As 0.625 0.625 0.625
6 Ru 0.250 0.250 0.250



[4]
Nd2Dy3Ho6Mg: relaxed, PBE-GGA.

Computed properties:
formation enthalpy at 0 K = 0.02 eV per atom
total moment = 0.000 μB per atom
ρ = 7.96 g/cm³
DFT total energy = -4.35 eV per atom

a = 6.113 Å, b = 6.113 Å, c = 11.729 Å
α = 95.02°, β = 95.02°, γ = 120.05°
Fractional positions:
1 Nd 0.166 0.834 0.000
2 Nd 0.834 0.166 0.000
3 Dy 0.000 0.000 0.500
4 Dy 0.334 0.666 0.500
5 Dy 0.666 0.334 0.500
6 Ho 0.085 0.417 0.749
7 Ho 0.251 0.251 0.252
8 Ho 0.417 0.085 0.749
9 Ho 0.583 0.915 0.251
10 Ho 0.749 0.749 0.748
11 Ho 0.915 0.583 0.251
12 Mg 0.500 0.500 0.000



[5]
SrAcPb4: relaxed, PBE-GGA.

Computed properties:
E above lowest polymorph = 0.000 eV/atom
formation enthalpy at 0 K = -0.40 eV per atom
total moment = 0.000 μB per atom
ρ = 9.00 g/cm³
DFT total energy = -3.84 eV per atom

a = 12.122 Å, b = 12.122 Å, c = 7.131 Å
α = 90.00°, β = 90.00°, γ = 156.26°
Fractional positions:
1 Sr 0.228 0.772 0.750
2 Sr 0.772 0.228 0.250
3 Ac 0.075 0.925 0.250
4 Ac 0.925 0.075 0.750
5 Pb 0.079 0.921 0.750
6 Pb 0.351 0.649 0.013
7 Pb 0.351 0.649 0.487
8 Pb 0.500 0.500 0.000
9 Pb 0.500 0.500 0.500
10 Pb 0.649 0.351 0.513
11 Pb 0.649 0.351 0.987
12 Pb 0.921 0.079 0.250



[6]
Ca5US8: relaxed, PBE-GGA.

Computed properties:
total moment = 0.000 μB per atom
ρ = 3.83 g/cm³
DFT total energy = -5.62 eV per atom

a = 7.315 Å, b = 7.315 Å, c = 7.315 Å
α = 109.85°, β = 109.85°, γ = 108.72°
Fractional positions:
1 Ca 0.000 0.000 0.000
2 Ca 0.111 0.493 0.863
3 Ca 0.507 0.370 0.618
4 Ca 0.630 0.248 0.137
5 Ca 0.752 0.889 0.382
6 U 0.250 0.750 0.500
7 S 0.028 0.280 0.394
8 S 0.242 0.105 0.735
9 S 0.366 0.972 0.252
10 S 0.370 0.507 0.265
11 S 0.493 0.758 0.863
12 S 0.720 0.114 0.748
13 S 0.886 0.634 0.606
14 S 0.895 0.630 0.137



[7]
KSrCd3: relaxed, PBE-GGA.

Computed properties:
E above lowest polymorph = 0.000 eV/atom
formation enthalpy at 0 K = 0.25 eV per atom
total moment = 0.000 μB per atom
ρ = 2.99 g/cm³
DFT total energy = -0.85 eV per atom

a = 6.363 Å, b = 6.363 Å, c = 6.363 Å
α = 90.00°, β = 90.00°, γ = 90.00°
Fractional positions:
1 K 0.000 0.000 0.000
2 Sr 0.500 0.500 0.500
3 Cd 0.000 0.500 0.500
4 Cd 0.500 0.000 0.500
5 Cd 0.500 0.500 0.000



[8]
BeRhCl2: relaxed, PBE-GGA.

Computed properties:
E above lowest polymorph = 0.000 eV/atom
total moment = 0.253 μB per atom
ρ = 3.86 g/cm³
DFT total energy = -4.08 eV per atom

a = 6.905 Å, b = 3.161 Å, c = 7.207 Å
α = 90.00°, β = 90.55°, γ = 90.00°
Fractional positions:
1 Be 0.000 0.000 0.000
2 Be 0.500 0.500 0.000
3 Rh 0.277 0.000 0.860
4 Rh 0.777 0.500 0.860
5 Cl 0.182 0.500 0.623
6 Cl 0.414 0.000 0.170
7 Cl 0.682 0.000 0.623
8 Cl 0.914 0.500 0.170



[9]
TbPm6Si4: relaxed, PBE-GGA.

Computed properties:
total moment = 0.000 μB per atom
ρ = 6.34 g/cm³
DFT total energy = -5.43 eV per atom

a = 9.236 Å, b = 9.236 Å, c = 4.045 Å
α = 90.00°, β = 90.00°, γ = 120.00°
Fractional positions:
1 Tb 0.000 0.000 0.000
2 Pm 0.195 0.391 0.500
3 Pm 0.195 0.805 0.500
4 Pm 0.541 0.082 0.000
5 Pm 0.541 0.459 0.000
6 Pm 0.609 0.805 0.500
7 Pm 0.918 0.459 0.000
8 Si 0.326 0.163 0.500
9 Si 0.333 0.667 0.000
10 Si 0.837 0.163 0.500
11 Si 0.837 0.674 0.500



[10]
TlCu2Ru: relaxed, PBE-GGA.

Computed properties:
E above lowest polymorph = 0.085 eV/atom
formation enthalpy at 0 K = 0.43 eV per atom
total moment = 0.000 μB per atom
ρ = 11.68 g/cm³
DFT total energy = -4.53 eV per atom

a = 6.266 Å, b = 6.266 Å, c = 6.266 Å
α = 90.00°, β = 90.00°, γ = 90.00°
Fractional positions:
1 Tl 0.000 0.000 0.000
2 Tl 0.000 0.500 0.500
3 Tl 0.500 0.000 0.500
4 Tl 0.500 0.500 0.000
5 Cu 0.000 0.000 0.500
6 Cu 0.000 0.500 0.000
7 Cu 0.250 0.250 0.250
8 Cu 0.250 0.750 0.750
9 Cu 0.500 0.000 0.000
10 Cu 0.500 0.500 0.500
11 Cu 0.750 0.250 0.750
12 Cu 0.750 0.750 0.250
13 Ru 0.250 0.250 0.750
14 Ru 0.250 0.750 0.250
15 Ru 0.750 0.250 0.250
16 Ru 0.750 0.750 0.750



[11]
TiTe2Ir: relaxed, PBE-GGA.

Computed properties:
E above lowest polymorph = 0.000 eV/atom
total moment = 0.000 μB per atom
ρ = 8.33 g/cm³
DFT total energy = -6.27 eV per atom

a = 8.456 Å, b = 6.440 Å, c = 8.032 Å
α = 90.00°, β = 115.49°, γ = 90.00°
Fractional positions:
1 Ti 0.022 0.035 0.321
2 Ti 0.022 0.465 0.821
3 Ti 0.978 0.535 0.179
4 Ti 0.978 0.965 0.679
5 Te 0.230 0.244 0.664
6 Te 0.230 0.256 0.164
7 Te 0.318 0.749 0.407
8 Te 0.318 0.751 0.907
9 Te 0.682 0.249 0.093
10 Te 0.682 0.251 0.593
11 Te 0.770 0.744 0.836
12 Te 0.770 0.756 0.336
13 Ir 0.107 0.658 0.558
14 Ir 0.107 0.842 0.058
15 Ir 0.893 0.158 0.942
16 Ir 0.893 0.342 0.442



[12]
HoErAu6: relaxed, PBE-GGA.

Computed properties:
formation enthalpy at 0 K = -0.68 eV per atom
total moment = 0.000 μB per atom
ρ = 15.62 g/cm³
DFT total energy = -4.28 eV per atom

a = 9.190 Å, b = 4.483 Å, c = 8.935 Å
α = 90.00°, β = 119.04°, γ = 90.00°
Fractional positions:
1 Ho 0.000 0.000 0.000
2 Ho 0.500 0.500 0.000
3 Er 0.000 0.000 0.500
4 Er 0.500 0.500 0.500
5 Au 0.001 0.500 0.750
6 Au 0.249 0.500 0.126
7 Au 0.249 0.500 0.624
8 Au 0.251 0.000 0.376
9 Au 0.251 0.000 0.874
10 Au 0.499 0.000 0.250
11 Au 0.501 0.000 0.750
12 Au 0.749 0.000 0.126
13 Au 0.749 0.000 0.624
14 Au 0.751 0.500 0.376
15 Au 0.751 0.500 0.874
16 Au 0.999 0.500 0.250



[13]
TcTeP2: relaxed, PBE-GGA.

Computed properties:
total moment = 0.001 μB per atom
ρ = 6.62 g/cm³
DFT total energy = -5.63 eV per atom

a = 5.219 Å, b = 5.219 Å, c = 5.297 Å
α = 90.00°, β = 90.00°, γ = 90.00°
Fractional positions:
1 Tc 0.000 0.000 0.000
2 Tc 0.500 0.500 0.500
3 Te 0.000 0.000 0.500
4 Te 0.500 0.500 0.000
5 P 0.000 0.500 0.000
6 P 0.000 0.500 0.500
7 P 0.500 0.000 0.000
8 P 0.500 0.000 0.500



[14]
H3RhI: relaxed, PBE-GGA.

Computed properties:
E above lowest polymorph = 0.000 eV/atom
total moment = 0.000 μB per atom
ρ = 7.12 g/cm³
DFT total energy = -3.10 eV per atom

a = 3.787 Å, b = 3.787 Å, c = 3.787 Å
α = 90.00°, β = 90.00°, γ = 90.00°
Fractional positions:
1 H 0.000 0.000 0.500
2 H 0.000 0.500 0.000
3 H 0.500 0.000 0.000
4 Rh 0.000 0.000 0.000
5 I 0.500 0.500 0.500



[15]
LaSe2Br: relaxed, PBE-GGA.

Computed properties:
E above lowest polymorph = 0.534 eV/atom
total moment = 0.000 μB per atom
ρ = 4.98 g/cm³
DFT total energy = -4.26 eV per atom

a = 4.822 Å, b = 4.822 Å, c = 18.701 Å
α = 90.00°, β = 90.00°, γ = 120.00°
Fractional positions:
1 La 0.000 0.000 0.000
2 La 0.333 0.667 0.667
3 La 0.667 0.333 0.333
4 Se 0.000 0.000 0.272
5 Se 0.000 0.000 0.728
6 Se 0.333 0.667 0.395
7 Se 0.333 0.667 0.938
8 Se 0.667 0.333 0.062
9 Se 0.667 0.333 0.605
10 Br 0.000 0.000 0.500
11 Br 0.333 0.667 0.167
12 Br 0.667 0.333 0.833



[16]
NdYHo2: relaxed, PBE-GGA.

Computed properties:
E above lowest polymorph = 0.016 eV/atom
formation enthalpy at 0 K = 0.02 eV per atom
total moment = 0.000 μB per atom
ρ = 7.23 g/cm³
DFT total energy = -5.07 eV per atom

a = 5.059 Å, b = 5.059 Å, c = 5.050 Å
α = 90.00°, β = 90.00°, γ = 90.00°
Fractional positions:
1 Nd 0.000 0.000 0.000
2 Y 0.500 0.500 0.000
3 Ho 0.000 0.500 0.500
4 Ho 0.500 0.000 0.500



[17]
NaLaGe2: relaxed, PBE-GGA.

Computed properties:
E above lowest polymorph = 0.134 eV/atom
formation enthalpy at 0 K = -0.40 eV per atom
total moment = 0.000 μB per atom
ρ = 5.36 g/cm³
DFT total energy = -4.27 eV per atom

a = 4.641 Å, b = 4.641 Å, c = 4.415 Å
α = 90.00°, β = 90.00°, γ = 90.00°
Fractional positions:
1 Na 0.000 0.000 0.000
2 La 0.500 0.500 0.000
3 Ge 0.000 0.500 0.500
4 Ge 0.500 0.000 0.500



[18]
TbSc2InO: relaxed, PBE-GGA.

Computed properties:
total moment = 0.000 μB per atom
ρ = 6.52 g/cm³
DFT total energy = -6.44 eV per atom

a = 4.510 Å, b = 4.510 Å, c = 4.755 Å
α = 90.00°, β = 90.00°, γ = 90.00°
Fractional positions:
1 Tb 0.000 0.000 0.000
2 Sc 0.000 0.500 0.500
3 Sc 0.500 0.000 0.500
4 In 0.500 0.500 0.000
5 O 0.000 0.000 0.500



[19]
CaLaY4: relaxed, PBE-GGA.

Computed properties:
E above lowest polymorph = 0.000 eV/atom
formation enthalpy at 0 K = 0.04 eV per atom
total moment = 0.000 μB per atom
ρ = 4.32 g/cm³
DFT total energy = -5.42 eV per atom

a = 17.763 Å, b = 3.661 Å, c = 6.369 Å
α = 90.00°, β = 96.81°, γ = 90.00°
Fractional positions:
1 Ca 0.000 0.000 0.000
2 Ca 0.500 0.500 0.000
3 La 0.000 0.500 0.500
4 La 0.500 0.000 0.500
5 Y 0.169 0.000 0.393
6 Y 0.172 0.500 0.888
7 Y 0.328 0.000 0.112
8 Y 0.331 0.500 0.607
9 Y 0.669 0.500 0.393
10 Y 0.672 0.000 0.888
11 Y 0.828 0.500 0.112
12 Y 0.831 0.000 0.607



[20]
BaCaIr2: relaxed, PBE-GGA.

Computed properties:
E above lowest polymorph = 0.495 eV/atom
formation enthalpy at 0 K = 0.24 eV per atom
total moment = 0.000 μB per atom
ρ = 7.65 g/cm³
DFT total energy = -5.17 eV per atom

a = 5.060 Å, b = 5.060 Å, c = 19.039 Å
α = 90.00°, β = 90.00°, γ = 90.00°
Fractional positions:
1 Ba 0.000 0.250 0.375
2 Ba 0.000 0.750 0.625
3 Ba 0.500 0.250 0.125
4 Ba 0.500 0.750 0.875
5 Ca 0.000 0.250 0.875
6 Ca 0.000 0.750 0.125
7 Ca 0.500 0.250 0.625
8 Ca 0.500 0.750 0.375
9 Ir 0.000 0.000 0.000
10 Ir 0.000 0.500 0.000
11 Ir 0.250 0.250 0.750
12 Ir 0.250 0.750 0.250
13 Ir 0.500 0.000 0.500
14 Ir 0.500 0.500 0.500
15 Ir 0.750 0.250 0.750
16 Ir 0.750 0.750 0.250



[21]
Pm8Dy5Tm: relaxed, PBE-GGA.

Computed properties:
formation enthalpy at 0 K = 0.26 eV per atom
total moment = 0.000 μB per atom
ρ = 7.43 g/cm³
DFT total energy = -4.42 eV per atom

a = 8.532 Å, b = 8.532 Å, c = 9.676 Å
α = 124.44°, β = 124.44°, γ = 73.49°
Fractional positions:
1 Pm 0.069 0.069 0.242
2 Pm 0.138 0.515 0.895
3 Pm 0.331 0.026 0.765
4 Pm 0.485 0.862 0.105
5 Pm 0.571 0.252 0.590
6 Pm 0.748 0.429 0.410
7 Pm 0.931 0.931 0.758
8 Pm 0.974 0.669 0.235
9 Dy 0.224 0.561 0.599
10 Dy 0.274 0.313 0.186
11 Dy 0.439 0.776 0.401
12 Dy 0.687 0.726 0.814
13 Dy 0.906 0.094 0.500
14 Tm 0.656 0.344 0.000



[22]
NaGdLu: relaxed, PBE-GGA.

Computed properties:
E above lowest polymorph = 0.000 eV/atom
formation enthalpy at 0 K = 0.15 eV per atom
total moment = 2.590 μB per atom
ρ = 6.05 g/cm³
DFT total energy = -6.49 eV per atom

a = 3.496 Å, b = 3.496 Å, c = 9.213 Å
α = 90.00°, β = 90.00°, γ = 120.00°
Fractional positions:
1 Na 0.000 0.000 0.000
2 Gd 0.667 0.333 0.357
3 Lu 0.333 0.667 0.655



[23]
Er2Zr2Cd: relaxed, PBE-GGA.

Computed properties:
formation enthalpy at 0 K = -0.09 eV per atom
total moment = 0.000 μB per atom
ρ = 8.12 g/cm³
DFT total energy = -5.51 eV per atom

a = 3.796 Å, b = 3.796 Å, c = 17.859 Å
α = 90.00°, β = 90.00°, γ = 90.00°
Fractional positions:
1 Er 0.000 0.000 0.104
2 Er 0.000 0.000 0.896
3 Er 0.500 0.500 0.396
4 Er 0.500 0.500 0.604
5 Zr 0.000 0.000 0.285
6 Zr 0.000 0.000 0.715
7 Zr 0.500 0.500 0.215
8 Zr 0.500 0.500 0.785
9 Cd 0.000 0.000 0.500
10 Cd 0.500 0.500 0.000



[24]
ZnSiSb3: relaxed, PBE-GGA.

Computed properties:
E above lowest polymorph = 0.000 eV/atom
total moment = 0.000 μB per atom
ρ = 5.31 g/cm³
DFT total energy = -3.12 eV per atom

a = 5.236 Å, b = 5.236 Å, c = 5.236 Å
α = 90.00°, β = 90.00°, γ = 90.00°
Fractional positions:
1 Zn 0.000 0.000 0.000
2 Si 0.500 0.500 0.500
3 Sb 0.000 0.500 0.500
4 Sb 0.500 0.000 0.500
5 Sb 0.500 0.500 0.000



[25]
CsSnSb2Au4: relaxed, PBE-GGA.

Computed properties:
total moment = 0.000 μB per atom
ρ = 9.08 g/cm³
DFT total energy = -3.47 eV per atom

a = 4.796 Å, b = 4.796 Å, c = 10.197 Å
α = 90.00°, β = 90.00°, γ = 90.00°
Fractional positions:
1 Cs 0.000 0.000 0.000
2 Sn 0.000 0.000 0.500
3 Sb 0.500 0.500 0.214
4 Sb 0.500 0.500 0.786
5 Au 0.000 0.500 0.341
6 Au 0.000 0.500 0.659
7 Au 0.500 0.000 0.341
8 Au 0.500 0.000 0.659